Li4Fe5Ni3O16 | PBE with a Hubbard U | optimized geometry

Values from the calculation:
The density of states at the Fermi level comes out at 5.04 states/eV/cell. The calculation puts the uncorrected energy at -156.64 eV/f.u.

a b c (Å): 5.8086 5.8086 9.4351
angles (deg): 90.50 90.50 59.75
Last column: nearest neighbours and their distance in Å.
Atoms (fractional coordinates):
Li (0.0000, 0.0000, 0.0000)  4 O 1.78-1.95
Li (0.0039, 0.0039, 0.5006)  4 O 1.78-1.91
Li (0.3236, 0.3236, 0.1041)  4 O 1.91-2.02
Li (0.6622, 0.6622, 0.6050)  4 O 1.92-2.05
Fe (0.1625, 0.6552, 0.7827)  6 O 1.90-1.98
Fe (0.3367, 0.3367, 0.5056)  6 O 2.00-2.08
Fe (0.6552, 0.1625, 0.7827)  6 O 1.90-1.98
Fe (0.6579, 0.6579, 0.0055)  6 O 1.99-2.13
Fe (0.8272, 0.8272, 0.2815)  6 O 1.99-2.03
Ni (0.1648, 0.1648, 0.7814)  6 O 1.96-2.05
Ni (0.3361, 0.8271, 0.2824)  6 O 1.88-1.96
Ni (0.8271, 0.3361, 0.2824)  6 O 1.88-1.96
O (0.0042, 0.0042, 0.1890)  1 Li 1.78, 2 Ni 1.88, 1 Fe 1.99
O (0.0339, 0.4910, 0.6553)  2 Fe 1.90-2.08, 1 Li 1.92, 1 Ni 2.04
O (0.1618, 0.1618, 0.3912)  1 Li 1.91, 2 Ni 1.96, 1 Fe 2.06
O (0.1705, 0.6768, 0.3961)  1 Li 1.91, 1 Ni 1.93, 2 Fe 2.00-2.03
O (0.3196, 0.8182, 0.8956)  1 Li 1.89, 2 Fe 1.92-1.99, 1 Ni 2.05
O (0.3336, 0.3336, 0.8899)  2 Fe 1.91, 1 Ni 1.98, 1 Li 2.02
O (0.4791, 0.4791, 0.6654)  1 Li 1.94, 3 Fe 1.94-2.07
O (0.4910, 0.0339, 0.6553)  2 Fe 1.90-2.08, 1 Li 1.92, 1 Ni 2.04
O (0.5014, 0.9558, 0.1565)  1 Ni 1.91, 1 Li 1.91, 2 Fe 2.02-2.06
O (0.5122, 0.5122, 0.1672)  2 Ni 1.92, 1 Li 1.99, 1 Fe 2.13
O (0.6564, 0.6564, 0.3878)  2 Ni 1.89, 1 Fe 2.00, 1 Li 2.05
O (0.6768, 0.1705, 0.3961)  1 Li 1.91, 1 Ni 1.93, 2 Fe 2.00-2.03
O (0.8182, 0.3196, 0.8956)  1 Li 1.89, 2 Fe 1.92-1.99, 1 Ni 2.05
O (0.8317, 0.8317, 0.8952)  1 Li 1.95, 3 Fe 1.98-2.05
O (0.9558, 0.5014, 0.1565)  1 Ni 1.91, 1 Li 1.91, 2 Fe 2.02-2.06
O (0.9903, 0.9903, 0.6885)  1 Li 1.78, 2 Fe 1.91, 1 Ni 1.96